i) A plane-wave DFT calculation with PBE-GGA was carried out for a geometry-optimized Ho3Er8Th2 structure.

Values from the calculation:
SG: P-1, No. 2
Magnetization: 0.000 μB/atom

a b c (Å): 11.4212 6.5364 18.3180
angles (deg): 110.93 74.19 139.75
Closest atoms and distances in Å follow each position.
Fractional positions:
Er1 0.9651 0.0454 0.2381  2 Ho 3.40-3.44, 5 Er 3.45-3.66, 2 Th 3.72-3.78
Er2 0.7392 0.1848 0.6147  2 Ho 3.10-3.23, 2 Er 3.25-3.43, 1 Th 3.43
Er3 0.1668 0.6366 0.6117  2 Ho 3.12-3.32, 1 Er 3.25, 1 Th 3.41
Er4 0.1663 0.8261 0.0698  2 Ho 3.24-3.49, 5 Er 3.45-3.61, 2 Th 3.50-3.52
Er5 0.8337 0.1739 0.9302  2 Ho 3.24-3.49, 5 Er 3.45-3.61, 2 Th 3.50-3.52
Er6 0.6670 0.4127 0.8882  1 Ho 3.12, 2 Er 3.25-3.33, 1 Th 3.40
Er7 0.2608 0.8152 0.3853  2 Ho 3.10-3.23, 2 Er 3.25-3.43, 1 Th 3.43
Er8 0.7606 0.0435 0.1145  2 Ho 3.10-3.43, 2 Er 3.23-3.25, 1 Th 3.43
Er9 0.3330 0.5873 0.1118  1 Ho 3.12, 2 Er 3.25-3.33, 1 Th 3.40
Er10 0.0349 0.9546 0.7619  2 Ho 3.40-3.44, 5 Er 3.45-3.66, 2 Th 3.72-3.78
Er11 0.3983 0.7516 0.7445  6 Er 3.23-3.55, 1 Th 3.37, 2 Ho 3.40-3.44
Er12 0.8332 0.3634 0.3883  2 Ho 3.12-3.32, 1 Er 3.25, 1 Th 3.41
Er13 0.3332 0.3134 0.5697  6 Er 3.24-3.61, 1 Ho 3.50, 2 Th 3.50-3.51
Er14 0.6668 0.6866 0.4303  6 Er 3.24-3.61, 1 Ho 3.50, 2 Th 3.50-3.51
Er15 0.2394 0.9565 0.8855  2 Ho 3.10-3.43, 2 Er 3.23-3.25, 1 Th 3.43
Er16 0.6017 0.2484 0.2555  6 Er 3.23-3.55, 1 Th 3.37, 2 Ho 3.40-3.44
Th1 0.8684 0.8172 0.5794  3 Ho 3.37-3.73, 6 Er 3.41-3.57, 1 Th 3.53
Th2 0.3683 0.6588 0.9206  8 Er 3.37-3.72, 1 Ho 3.44, 1 Th 3.53
Th3 0.6317 0.3412 0.0794  8 Er 3.37-3.72, 1 Ho 3.44, 1 Th 3.53
Th4 0.1316 0.1828 0.4206  3 Ho 3.37-3.73, 6 Er 3.41-3.57, 1 Th 3.53
Ho1 0.5344 0.4299 0.7381  6 Er 3.40-3.66, 1 Ho 3.46, 2 Th 3.73-3.78
Ho2 0.4656 0.5701 0.2619  6 Er 3.40-3.66, 1 Ho 3.46, 2 Th 3.73-3.78
Ho3 0.1009 0.7362 0.2444  7 Er 3.23-3.55, 1 Th 3.37, 1 Ho 3.46
Ho4 0.5000 0.0000 0.5000  4 Er 3.10-3.12, 2 Th 3.44
Ho5 0.8991 0.2638 0.7556  7 Er 3.23-3.55, 1 Th 3.37, 1 Ho 3.46
Ho6 0.0000 0.0000 0.0000  4 Er 3.10-3.12, 2 Th 3.44

ii) A plane-wave DFT calculation with PBE-GGA was carried out for a geometry-optimized Ho3Er8Th2 structure.

Values from the calculation:
SG: Cmmm, No. 65
Magnetization: 0.000 μB/atom

a b c (Å): 5.6002 7.3181 10.9595
angles (deg): 109.47 90.00 90.00
Closest atoms and distances in Å follow each position.
Fractional positions:
Ho1 0.5000 0.0000 0.0000  4 Er 3.06
Ho2 0.0000 0.2741 0.9999  3 Ho 3.31-3.44, 6 Er 3.50-3.60
Ho3 0.0000 0.7259 0.0001  3 Ho 3.31-3.44, 6 Er 3.50-3.60
Er1 0.0002 0.6651 0.3303  2 Th 3.36, 6 Er 3.42-3.70
Er2 0.9999 0.1386 0.2773  2 Ho 3.50, 6 Er 3.53-3.70, 2 Th 3.56
Er3 0.0001 0.8614 0.7227  2 Ho 3.50, 6 Er 3.53-3.70, 2 Th 3.56
Er4 0.5001 0.3908 0.2188  1 Ho 3.06, 3 Er 3.20-3.43, 1 Th 3.40
Er5 0.9998 0.3349 0.6697  2 Th 3.36, 6 Er 3.42-3.70
Er6 0.4999 0.6092 0.7812  1 Ho 3.06, 3 Er 3.20-3.43, 1 Th 3.40
Er7 0.4999 0.1717 0.7810  1 Ho 3.06, 3 Er 3.20-3.42, 1 Th 3.40
Er8 0.5001 0.8283 0.2190  1 Ho 3.06, 3 Er 3.20-3.42, 1 Th 3.40
Th1 0.5003 0.7548 0.5096  8 Er 3.36-3.56, 2 Th 3.66
Th2 0.4997 0.2452 0.4904  8 Er 3.36-3.56, 2 Th 3.66

Which one sits at the top of the stability order? i) does.

i) A plane-wave DFT calculation with PBE-GGA was carried out for a geometry-optimized Ho7Er2Th2 structure.

Values from the calculation:
SG: C2/m, No. 12
Magnetization: 0.000 μB/atom

a b c (Å): 6.0762 7.9282 7.9282
angles (deg): 91.55 73.95 73.95
Closest atoms and distances in Å follow each position.
Fractional positions:
Th1 0.1939 0.5821 0.5821  2 Th 3.43-3.50, 7 Ho 3.46-3.78, 2 Er 3.65
Th2 0.8061 0.4179 0.4179  2 Th 3.43-3.50, 7 Ho 3.46-3.78, 2 Er 3.65
Ho1 0.4186 0.2353 0.2353  5 Ho 3.31-3.54, 3 Th 3.46-3.66, 2 Er 3.47
Ho2 0.1733 0.5883 0.0629  4 Ho 3.18-3.54, 2 Er 3.28-3.39
Ho3 0.8267 0.4117 0.9371  4 Ho 3.18-3.54, 2 Er 3.28-3.39
Ho4 0.5814 0.7647 0.7647  5 Ho 3.31-3.54, 3 Th 3.46-3.66, 2 Er 3.47
Ho5 0.1733 0.0629 0.5883  4 Ho 3.18-3.54, 2 Er 3.28-3.39
Ho6 0.0000 0.0000 0.0000  6 Ho 3.24-3.46
Ho7 0.8267 0.9371 0.4117  4 Ho 3.18-3.54, 2 Er 3.28-3.39
Er1 0.5000 0.7833 0.2167  6 Ho 3.28-3.47, 2 Th 3.65
Er2 0.5000 0.2167 0.7833  6 Ho 3.28-3.47, 2 Th 3.65

ii) A plane-wave DFT calculation with PBE-GGA was carried out for a geometry-optimized Ho7Er2Th2 structure.

Values from the calculation:
SG: C2/m, No. 12
Magnetization: 0.000 μB/atom

a b c (Å): 6.4889 6.4889 8.6751
angles (deg): 98.23 98.23 95.28
Closest atoms and distances in Å follow each position.
Fractional positions:
Ho1 0.1496 0.1496 0.4103  4 Ho 3.32-3.71, 1 Er 3.38, 4 Th 3.44-3.52
Ho2 0.9154 0.5534 0.2023  2 Th 3.38-3.62, 3 Er 3.41-3.50, 4 Ho 3.47-3.73
Ho3 0.4466 0.0846 0.7977  2 Th 3.38-3.62, 3 Er 3.41-3.50, 4 Ho 3.47-3.73
Ho4 0.0000 0.0000 0.0000  2 Er 3.39, 6 Ho 3.52-3.64
Ho5 0.5534 0.9154 0.2023  2 Th 3.38-3.62, 3 Er 3.41-3.50, 4 Ho 3.47-3.73
Ho6 0.0846 0.4466 0.7977  2 Th 3.38-3.62, 3 Er 3.41-3.50, 4 Ho 3.47-3.73
Ho7 0.8504 0.8504 0.5897  4 Ho 3.32-3.71, 1 Er 3.38, 4 Th 3.44-3.52
Er1 0.3899 0.3899 0.1531  8 Ho 3.38-3.50, 2 Th 3.40, 1 Er 3.60
Er2 0.6101 0.6101 0.8469  8 Ho 3.38-3.50, 2 Th 3.40, 1 Er 3.60
Th1 0.6757 0.3243 0.5000  1 Th 3.37, 8 Ho 3.38-3.62, 2 Er 3.40
Th2 0.3243 0.6757 0.5000  1 Th 3.37, 8 Ho 3.38-3.62, 2 Er 3.40

Which one sits at the top of the stability order? ii) does.

i) A plane-wave DFT calculation with PBE-GGA was carried out for a geometry-optimized Ho3Er5Th3 structure.

Values from the calculation:
SG: P-62m, No. 189
Magnetization: 0.000 μB/atom

a b c (Å): 3.4150 11.0908 11.0908
angles (deg): 120.00 90.00 90.00
Closest atoms and distances in Å follow each position.
Fractional positions:
Er1 0.5000 0.6667 0.3333  5 Er 3.42-3.66, 6 Th 3.78
Er2 0.5000 0.3404 0.0000  2 Ho 3.27, 2 Th 3.30, 4 Er 3.42-3.66
Er3 0.5000 0.0000 0.3404  2 Ho 3.27, 2 Th 3.30, 4 Er 3.42-3.66
Er4 0.5000 0.6596 0.6596  2 Ho 3.27, 2 Th 3.30, 4 Er 3.42-3.66
Er5 0.5000 0.3333 0.6667  5 Er 3.42-3.66, 6 Th 3.78
Th1 0.0000 0.0000 0.5954  2 Ho 3.20, 2 Er 3.30, 2 Th 3.42
Th2 0.0000 0.4046 0.4046  2 Ho 3.20, 2 Er 3.30, 2 Th 3.42
Th3 0.0000 0.5954 0.0000  2 Ho 3.20, 2 Er 3.30, 2 Th 3.42
Ho1 0.5000 0.8393 0.0000  4 Ho 3.09-3.42, 2 Th 3.20, 2 Er 3.27
Ho2 0.5000 0.0000 0.8393  4 Ho 3.09-3.42, 2 Th 3.20, 2 Er 3.27
Ho3 0.5000 0.1607 0.1607  4 Ho 3.09-3.42, 2 Th 3.20, 2 Er 3.27

ii) A plane-wave DFT calculation with PBE-GGA was carried out for a geometry-optimized Ho3Er5Th3 structure.

Values from the calculation:
SG: P-62m, No. 189
Magnetization: 0.000 μB/atom

a b c (Å): 5.3904 9.7624 9.7624
angles (deg): 120.00 90.00 90.00
Closest atoms and distances in Å follow each position.
Fractional positions:
Er1 0.5000 0.2663 0.2663  2 Ho 3.21, 3 Th 3.22-3.56
Er2 0.5000 0.7337 0.0000  2 Ho 3.21, 3 Th 3.22-3.56
Er3 0.5000 0.3333 0.6667  3 Th 3.10
Er4 0.5000 0.0000 0.7337  2 Ho 3.21, 3 Th 3.22-3.56
Er5 0.5000 0.6667 0.3333  3 Th 3.10
Ho1 0.0000 0.4452 0.4452  2 Er 3.21, 2 Th 3.25
Ho2 0.0000 0.5548 0.0000  2 Er 3.21, 2 Th 3.25
Ho3 0.0000 0.0000 0.5548  2 Er 3.21, 2 Th 3.25
Th1 0.5000 0.0000 0.3688  4 Er 3.10-3.22, 2 Ho 3.25
Th2 0.5000 0.6312 0.6312  4 Er 3.10-3.22, 2 Ho 3.25
Th3 0.5000 0.3688 0.0000  4 Er 3.10-3.22, 2 Ho 3.25

Which one sits at the top of the stability order? i) does.

i) A plane-wave DFT calculation with PBE-GGA was carried out for a geometry-optimized HoErTh6 structure.

Values from the calculation:
SG: P4/mmm, No. 123
Magnetization: 0.000 μB/atom

a b c (Å): 5.0414 5.0414 10.0833
angles (deg): 90.00 90.00 90.00
Closest atoms and distances in Å follow each position.
Fractional positions:
Th1 0.0000 0.5000 0.7504  8 Th 3.56-3.57, 2 Er 3.56, 2 Ho 3.57
Th2 0.5000 0.0000 0.7504  8 Th 3.56-3.57, 2 Er 3.56, 2 Ho 3.57
Th3 0.5000 0.5000 0.5000  4 Ho 3.56, 8 Th 3.57
Th4 0.5000 0.0000 0.2496  8 Th 3.56-3.57, 2 Er 3.56, 2 Ho 3.57
Th5 0.5000 0.5000 0.0000  8 Th 3.56, 4 Er 3.56
Th6 0.0000 0.5000 0.2496  8 Th 3.56-3.57, 2 Er 3.56, 2 Ho 3.57
Er1 0.0000 0.0000 0.0000  12 Th 3.56
Ho1 0.0000 0.0000 0.5000  12 Th 3.56-3.57

ii) A plane-wave DFT calculation with PBE-GGA was carried out for a geometry-optimized HoErTh6 structure.

Values from the calculation:
SG: C2/m, No. 12
Magnetization: 0.000 μB/atom

a b c (Å): 8.3287 8.3287 5.9876
angles (deg): 68.99 68.99 42.15
Closest atoms and distances in Å follow each position.
Fractional positions:
Th1 0.1275 0.1275 0.3722  6 Th 3.47-3.66, 2 Er 3.50-3.51, 2 Ho 3.51
Th2 0.2502 0.2502 0.7496  8 Th 3.47, 1 Ho 3.58, 1 Er 3.59
Th3 0.7498 0.7498 0.2504  8 Th 3.47, 1 Ho 3.58, 1 Er 3.59
Th4 0.3727 0.3727 0.1277  6 Th 3.47-3.65, 2 Ho 3.50-3.51, 2 Er 3.51
Th5 0.6273 0.6273 0.8723  6 Th 3.47-3.65, 2 Ho 3.50-3.51, 2 Er 3.51
Th6 0.8725 0.8725 0.6278  6 Th 3.47-3.66, 2 Er 3.50-3.51, 2 Ho 3.51
Ho1 0.5000 0.5000 0.5000  10 Th 3.50-3.58
Er1 0.0000 0.0000 0.0000  10 Th 3.50-3.59

Which one sits at the top of the stability order? i) does.